Run one
{
  "formula": "Pm12YTm6",
  "functional": "PBE-GGA",
  "state": "optimized geometry",
  "cell": [[6.0332, 3.4833, 5.0760], [-6.0332, 3.4833, 5.0760], [0.0000, -6.9665, 5.0760]],
  "species": ["Pm", "Pm", "Pm", "Pm", "Pm", "Pm", "Pm", "Pm", "Pm", "Pm", "Pm", "Pm", "Y", "Tm", "Tm", "Tm", "Tm", "Tm", "Tm"],
  "frac_coords": [[0.0165, 0.3631, 0.1952], [0.1952, 0.0165, 0.3631], [0.2192, 0.5668, 0.4627], [0.3631, 0.1952, 0.0165], [0.4332, 0.5373, 0.7808], [0.4627, 0.2192, 0.5668], [0.5373, 0.7808, 0.4332], [0.5668, 0.4627, 0.2192], [0.6369, 0.8048, 0.9835], [0.7808, 0.4332, 0.5373], [0.8048, 0.9835, 0.6369], [0.9835, 0.6369, 0.8048], [0.0000, 0.0000, 0.0000], [0.0994, 0.2591, 0.7018], [0.2591, 0.7018, 0.0994], [0.2982, 0.9006, 0.7409], [0.7018, 0.0994, 0.2591], [0.7409, 0.2982, 0.9006], [0.9006, 0.7409, 0.2982]]
}

***

Run two
{
  "formula": "Pm12YTm6",
  "functional": "PBE-GGA",
  "state": "optimized geometry",
  "cell": [[7.3789, 4.2602, 3.4785], [-7.3789, 4.2602, 3.4785], [0.0000, -8.5204, 3.4785]],
  "species": ["Pm", "Pm", "Pm", "Pm", "Pm", "Pm", "Pm", "Pm", "Pm", "Pm", "Pm", "Pm", "Y", "Tm", "Tm", "Tm", "Tm", "Tm", "Tm"],
  "frac_coords": [[0.1358, 0.2783, 0.8279], [0.1721, 0.8642, 0.7217], [0.1926, 0.4825, 0.5801], [0.2783, 0.8279, 0.1358], [0.4199, 0.8074, 0.5175], [0.4825, 0.5801, 0.1926], [0.5175, 0.4199, 0.8074], [0.5801, 0.1926, 0.4825], [0.7217, 0.1721, 0.8642], [0.8074, 0.5175, 0.4199], [0.8279, 0.1358, 0.2783], [0.8642, 0.7217, 0.1721], [0.0000, 0.0000, 0.0000], [0.0749, 0.4575, 0.1890], [0.1890, 0.0749, 0.4575], [0.4575, 0.1890, 0.0749], [0.5425, 0.8110, 0.9251], [0.8110, 0.9251, 0.5425], [0.9251, 0.5425, 0.8110]]
}

***

Stability, descending: run one, run two

***

Run one
{
  "formula": "Pm12Y5Tm2",
  "functional": "PBE-GGA",
  "state": "optimized geometry",
  "cell": [[8.9250, -5.8689, 0.0000], [8.9250, 5.8689, 0.0000], [-1.3266, 0.0000, 6.0900]],
  "species": ["Pm", "Pm", "Pm", "Pm", "Pm", "Pm", "Pm", "Pm", "Pm", "Pm", "Pm", "Pm", "Y", "Y", "Y", "Y", "Y", "Tm", "Tm"],
  "frac_coords": [[0.0485, 0.5599, 0.8030], [0.0545, 0.0545, 0.2741], [0.1475, 0.6451, 0.3819], [0.3549, 0.8525, 0.6181], [0.3820, 0.3820, 0.9951], [0.4401, 0.9515, 0.1970], [0.5599, 0.0485, 0.8030], [0.6180, 0.6180, 0.0049], [0.6451, 0.1475, 0.3819], [0.8525, 0.3549, 0.6181], [0.9455, 0.9455, 0.7259], [0.9515, 0.4401, 0.1970], [0.1765, 0.1765, 0.8615], [0.2829, 0.2829, 0.4426], [0.5000, 0.5000, 0.5000], [0.7171, 0.7171, 0.5574], [0.8235, 0.8235, 0.1385], [0.2665, 0.7335, 0.0000], [0.7335, 0.2665, 0.0000]]
}

***

Run two
{
  "formula": "Pm12Y5Tm2",
  "functional": "PBE-GGA",
  "state": "optimized geometry",
  "cell": [[11.1644, -3.5527, 0.0000], [11.1644, 3.5527, 0.0000], [-3.0452, 0.0000, 8.2010]],
  "species": ["Pm", "Pm", "Pm", "Pm", "Pm", "Pm", "Pm", "Pm", "Pm", "Pm", "Pm", "Pm", "Y", "Y", "Y", "Y", "Y", "Tm", "Tm"],
  "frac_coords": [[0.0464, 0.5529, 0.7059], [0.0480, 0.0480, 0.1944], [0.1376, 0.6513, 0.1152], [0.3487, 0.8624, 0.8848], [0.3574, 0.3574, 0.4392], [0.4471, 0.9536, 0.2941], [0.5529, 0.0464, 0.7059], [0.6426, 0.6426, 0.5608], [0.6513, 0.1376, 0.1152], [0.8624, 0.3487, 0.8848], [0.9520, 0.9520, 0.8056], [0.9536, 0.4471, 0.2941], [0.1497, 0.1497, 0.5970], [0.2511, 0.2511, 0.0096], [0.5000, 0.5000, 0.0000], [0.7489, 0.7489, 0.9904], [0.8503, 0.8503, 0.4030], [0.2425, 0.7575, 0.5000], [0.7575, 0.2425, 0.5000]]
}

***

Stability, descending: run one, run two

***

Run one
{
  "formula": "Pm2Y3Tm2",
  "functional": "PBE-GGA",
  "state": "optimized geometry",
  "cell": [[-4.8784, 4.8784, 4.8784], [4.8784, -4.8784, 4.8784], [4.8784, 4.8784, -4.8784]],
  "species": ["Pm", "Pm", "Pm", "Pm", "Y", "Y", "Y", "Y", "Y", "Y", "Tm", "Tm", "Tm", "Tm"],
  "frac_coords": [[0.0000, 0.8090, 0.5000], [0.5000, 0.0000, 0.8090], [0.6910, 0.6910, 0.6910], [0.8090, 0.5000, 0.0000], [0.1898, 0.7500, 0.9398], [0.2500, 0.5602, 0.3102], [0.3102, 0.2500, 0.5602], [0.5602, 0.3102, 0.2500], [0.7500, 0.9398, 0.1898], [0.9398, 0.1898, 0.7500], [0.0000, 0.4087, 0.5000], [0.0913, 0.0913, 0.0913], [0.4087, 0.5000, 0.0000], [0.5000, 0.0000, 0.4087]]
}

***

Run two
{
  "formula": "Pm2Y3Tm2",
  "functional": "PBE-GGA",
  "state": "optimized geometry",
  "cell": [[17.5224, 0.0000, 0.0000], [0.0000, 3.5037, 0.0000], [-4.1694, 0.0000, 7.4787]],
  "species": ["Pm", "Pm", "Pm", "Pm", "Y", "Y", "Y", "Y", "Y", "Y", "Tm", "Tm", "Tm", "Tm"],
  "frac_coords": [[0.0660, 0.0000, 0.2188], [0.4340, 0.5000, 0.7812], [0.5660, 0.5000, 0.2188], [0.9340, 0.0000, 0.7812], [0.0000, 0.5000, 0.5000], [0.2117, 0.5000, 0.6258], [0.2883, 0.0000, 0.3742], [0.5000, 0.0000, 0.5000], [0.7117, 0.0000, 0.6258], [0.7883, 0.5000, 0.3742], [0.1497, 0.5000, 0.9668], [0.3503, 0.0000, 0.0332], [0.6497, 0.0000, 0.9668], [0.8503, 0.5000, 0.0332]]
}

***

Stability, descending: run two, run one

***

Run one
{
  "formula": "Pm7Y2Tm3",
  "functional": "PBE-GGA",
  "state": "optimized geometry",
  "cell": [[2.8837, -19.0578, 0.0000], [2.8837, 19.0578, 0.0000], [0.0000, 0.0000, 3.6249]],
  "species": ["Pm", "Pm", "Pm", "Pm", "Pm", "Pm", "Pm", "Y", "Y", "Tm", "Tm", "Tm"],
  "frac_coords": [[0.0000, 0.0000, 0.0000], [0.0720, 0.9280, 0.5000], [0.2323, 0.7677, 0.0000], [0.4075, 0.5925, 0.0000], [0.5925, 0.4075, 0.0000], [0.7677, 0.2323, 0.0000], [0.9280, 0.0720, 0.5000], [0.1490, 0.8510, 0.0000], [0.8510, 0.1490, 0.0000], [0.3149, 0.6851, 0.5000], [0.5000, 0.5000, 0.5000], [0.6851, 0.3149, 0.5000]]
}

***

Run two
{
  "formula": "Pm7Y2Tm3",
  "functional": "PBE-GGA",
  "state": "optimized geometry",
  "cell": [[6.4287, 0.0000, 0.0000], [0.0000, 3.5498, 0.0000], [-1.8013, 0.0000, 17.4033]],
  "species": ["Pm", "Pm", "Pm", "Pm", "Pm", "Pm", "Pm", "Y", "Y", "Tm", "Tm", "Tm"],
  "frac_coords": [[0.0000, 0.0000, 0.0000], [0.2266, 0.5000, 0.1716], [0.2587, 0.5000, 0.4953], [0.2761, 0.0000, 0.8344], [0.7239, 0.0000, 0.1656], [0.7413, 0.5000, 0.5047], [0.7734, 0.5000, 0.8284], [0.0595, 0.5000, 0.6704], [0.9405, 0.5000, 0.3296], [0.4539, 0.0000, 0.3413], [0.5000, 0.5000, 0.0000], [0.5461, 0.0000, 0.6587]]
}

***

Stability, descending: run two, run one

***

Run one
{
  "formula": "PmY4Tm",
  "functional": "PBE-GGA",
  "state": "optimized geometry",
  "cell": [[4.5628, 0.0000, 0.0000], [0.0000, 4.5628, 0.0000], [0.0000, 0.0000, 10.9911]],
  "species": ["Pm", "Y", "Y", "Y", "Y", "Tm"],
  "frac_coords": [[0.0000, 0.0000, 0.0000], [0.0000, 0.5000, 0.2545], [0.0000, 0.5000, 0.7455], [0.5000, 0.0000, 0.2545], [0.5000, 0.0000, 0.7455], [0.5000, 0.5000, 0.5000]]
}

***

Run two
{
  "formula": "PmY4Tm",
  "functional": "PBE-GGA",
  "state": "optimized geometry",
  "cell": [[5.6576, 0.0000, 0.0000], [0.0000, 9.7896, 0.0000], [-0.0074, 0.0000, 6.9475]],
  "species": ["Pm", "Pm", "Y", "Y", "Y", "Y", "Y", "Y", "Y", "Y", "Tm", "Tm"],
  "frac_coords": [[0.0000, 0.0000, 0.0000], [0.5000, 0.5000, 0.0000], [0.0007, 0.3334, 0.2541], [0.0007, 0.6666, 0.2541], [0.4993, 0.1666, 0.7459], [0.4993, 0.8334, 0.7459], [0.5007, 0.1666, 0.2541], [0.5007, 0.8334, 0.2541], [0.9993, 0.3334, 0.7459], [0.9993, 0.6666, 0.7459], [0.0000, 0.0000, 0.5000], [0.5000, 0.5000, 0.5000]]
}

***

Stability, descending: run two, run one

***

Run one
{
  "formula": "Pm5Y4Tm2",
  "functional": "PBE-GGA",
  "state": "optimized geometry",
  "cell": [[-1.7659, 4.5631, 11.7911], [1.7659, -4.5631, 11.7911], [1.7659, 4.5631, -11.7911]],
  "species": ["Pm", "Pm", "Pm", "Pm", "Pm", "Y", "Y", "Y", "Y", "Tm", "Tm"],
  "frac_coords": [[0.0000, 0.0000, 0.0000], [0.0531, 0.3525, 0.7005], [0.3480, 0.6475, 0.7005], [0.6520, 0.3525, 0.2995], [0.9469, 0.6475, 0.2995], [0.3110, 0.5000, 0.8110], [0.4021, 0.9021, 0.5000], [0.5979, 0.0979, 0.5000], [0.6890, 0.5000, 0.1890], [0.2692, 0.7692, 0.5000], [0.7308, 0.2308, 0.5000]]
}

***

Run two
{
  "formula": "Pm5Y4Tm2",
  "functional": "PBE-GGA",
  "state": "optimized geometry",
  "cell": [[5.5782, -3.6406, 0.0000], [5.5782, 3.6406, 0.0000], [-2.8463, 0.0000, 8.9293]],
  "species": ["Pm", "Pm", "Pm", "Pm", "Pm", "Y", "Y", "Y", "Y", "Tm", "Tm"],
  "frac_coords": [[0.0000, 0.0000, 0.0000], [0.2134, 0.6558, 0.7301], [0.3442, 0.7866, 0.2699], [0.6558, 0.2134, 0.7301], [0.7866, 0.3442, 0.2699], [0.3033, 0.3033, 0.9958], [0.3339, 0.3339, 0.3811], [0.6661, 0.6661, 0.6189], [0.6967, 0.6967, 0.0042], [0.1463, 0.1463, 0.6148], [0.8537, 0.8537, 0.3852]]
}

***

Stability, descending: run two, run one